1.
# CdSbW2

A geometry-optimized CdSbW2 structure (PBE, OQMD via LeMat-Bulk).

The value obtained for the magnetization is 0.1 μB per cell. The value obtained for the total energy is -6.870 eV per atom.

The structure belongs to space group F-43m (No. 216); the cell edges are 6.6777, 6.6777 and 6.6777 Å and the angles 90.00°, 90.00° and 90.00°. The distinct sites, in fractional coordinates, are Cd at (0.0000, 0.0000, 0.0000), Sb at (0.2500, 0.2500, 0.7500), W at (0.0000, 0.0000, 0.5000) and W at (0.2500, 0.2500, 0.2500).


2.
# Cd2SbW

A geometry-optimized Cd2SbW structure (PBE, OQMD via LeMat-Bulk).

The value obtained for the magnetization is 0.1 μB per cell. The value obtained for the total energy is -3.905 eV per atom.

The structure belongs to space group F-43m (No. 216); the cell edges are 6.8867, 6.8867 and 6.8867 Å and the angles 90.00°, 90.00° and 90.00°. The distinct sites, in fractional coordinates, are Cd at (0.0000, 0.0000, 0.0000), Cd at (0.2500, 0.2500, 0.2500), Sb at (0.0000, 0.0000, 0.5000) and W at (0.2500, 0.2500, 0.7500).


3.
# YCdSb

A geometry-optimized YCdSb structure (PBE, OQMD via LeMat-Bulk).

The value obtained for the magnetization is 0.0 μB per cell. Its distance to the lowest polymorph of the same formula is 0 meV per atom.

The structure belongs to space group F-43m (No. 216); the cell edges are 7.1930, 7.1930 and 7.1930 Å and the angles 90.00°, 90.00° and 90.00°. The distinct sites, in fractional coordinates, are Y at (0.0000, 0.0000, 0.0000), Cd at (0.2500, 0.2500, 0.7500) and Sb at (0.2500, 0.2500, 0.2500).


4.
# YCdSb2

A geometry-optimized YCdSb2 structure (PBE, OQMD via LeMat-Bulk).

The value obtained for the magnetization is 0.0 μB per cell. The value obtained for the total energy is -4.094 eV per atom.

The structure belongs to space group F-43m (No. 216); the cell edges are 7.5322, 7.5322 and 7.5322 Å and the angles 90.00°, 90.00° and 90.00°. The distinct sites, in fractional coordinates, are Y at (0.0000, 0.0000, 0.0000), Cd at (0.2500, 0.2500, 0.7500), Sb at (0.0000, 0.0000, 0.5000) and Sb at (0.2500, 0.2500, 0.2500).


5.
# ZnCdSb2

A geometry-optimized ZnCdSb2 structure (PBE, OQMD via LeMat-Bulk).

The value obtained for the total energy is -2.383 eV per atom.

The structure belongs to space group F-43m (No. 216); the cell edges are 7.2953, 7.2953 and 7.2953 Å and the angles 90.00°, 90.00° and 90.00°. The distinct sites, in fractional coordinates, are Zn at (0.0000, 0.0000, 0.0000), Cd at (0.2500, 0.2500, 0.2500), Sb at (0.0000, 0.0000, 0.5000) and Sb at (0.2500, 0.2500, 0.7500).


6.
# ZnCd2Sb

A geometry-optimized ZnCd2Sb structure (PBE, OQMD via LeMat-Bulk).

The value obtained for the total energy is -1.646 eV per atom.

The structure belongs to space group F-43m (No. 216); the cell edges are 7.1490, 7.1490 and 7.1490 Å and the angles 90.00°, 90.00° and 90.00°. The distinct sites, in fractional coordinates, are Zn at (0.0000, 0.0000, 0.0000), Cd at (0.0000, 0.0000, 0.5000), Cd at (0.2500, 0.2500, 0.2500) and Sb at (0.2500, 0.2500, 0.7500).


7.
# ZrCdSb2

A geometry-optimized ZrCdSb2 structure (PBE, OQMD via LeMat-Bulk).

The value obtained for the magnetization is 0.0 μB per cell. The value obtained for the total energy is -4.275 eV per atom.

The structure belongs to space group F-43m (No. 216); the cell edges are 7.3209, 7.3209 and 7.3209 Å and the angles 90.00°, 90.00° and 90.00°. The distinct sites, in fractional coordinates, are Zr at (0.0000, 0.0000, 0.0000), Cd at (0.2500, 0.2500, 0.7500), Sb at (0.0000, 0.0000, 0.5000) and Sb at (0.2500, 0.2500, 0.2500).


8.
# ZrCdSb2

A geometry-optimized ZrCdSb2 structure (PBE, OQMD via LeMat-Bulk).

The value obtained for the magnetization is 0.0 μB per cell. The value obtained for the total energy is -4.275 eV per atom.

The structure belongs to space group F-43m (No. 216); the cell edges are 7.3208, 7.3208 and 7.3208 Å and the angles 90.00°, 90.00° and 90.00°. The distinct sites, in fractional coordinates, are Zr at (0.0000, 0.0000, 0.0000), Cd at (0.2500, 0.2500, 0.2500), Sb at (0.0000, 0.0000, 0.5000) and Sb at (0.2500, 0.2500, 0.7500).


9.
# ZrCd2Sb

A geometry-optimized ZrCd2Sb structure (PBE, OQMD via LeMat-Bulk).

The value obtained for the magnetization is 0.0 μB per cell. The value obtained for the total energy is -3.549 eV per atom.

The structure belongs to space group F-43m (No. 216); the cell edges are 7.1633, 7.1633 and 7.1633 Å and the angles 90.00°, 90.00° and 90.00°. The distinct sites, in fractional coordinates, are Zr at (0.0000, 0.0000, 0.0000), Cd at (0.0000, 0.0000, 0.5000), Cd at (0.2500, 0.2500, 0.2500) and Sb at (0.2500, 0.2500, 0.7500).


10.
# ScTlCdSe3

A geometry-optimized ScTlCdSe3 structure (PBE, OQMD via LeMat-Bulk).

The value obtained for the magnetization is 0.0 μB per cell. Its distance to the lowest polymorph of the same formula is 16 meV per atom.

The structure belongs to space group Cmcm (No. 63); the cell edges are 4.0715, 14.7516 and 10.7880 Å and the angles 90.00°, 90.00° and 90.00°. The distinct sites, in fractional coordinates, are Sc at (0.0000, 0.0000, 0.0000), Tl at (0.0000, 0.2540, 0.2500), Cd at (0.0000, 0.4535, 0.7500), Se at (0.0000, 0.0698, 0.7500) and Se at (0.0000, 0.3742, 0.5353).


11.
# ScTlCdSe3

A geometry-optimized ScTlCdSe3 structure (PBE, OQMD via LeMat-Bulk).

The value obtained for the magnetization is 0.0 μB per cell. Its distance to the lowest polymorph of the same formula is 65 meV per atom.

The structure belongs to space group Pnma (No. 62); the cell edges are 12.4819, 4.0718 and 12.7032 Å and the angles 90.00°, 90.00° and 90.00°. The distinct sites, in fractional coordinates, are Sc at (0.0378, 0.2500, 0.1582), Tl at (0.1400, 0.2500, 0.5086), Cd at (0.2471, 0.2500, 0.8012), Se at (0.0356, 0.7500, 0.3105), Se at (0.0835, 0.2500, 0.9326) and Se at (0.2484, 0.7500, 0.6627).


12.
# ScTlCdSe3

A geometry-optimized ScTlCdSe3 structure (PBE, OQMD via LeMat-Bulk).

The value obtained for the magnetization is 0.0 μB per cell. Its distance to the lowest polymorph of the same formula is 0 meV per atom.

The structure belongs to space group P2_1/m (No. 11); the cell edges are 8.5542, 4.1085 and 10.1246 Å and the angles 90.00°, 108.58° and 90.00°. The distinct sites, in fractional coordinates, are Sc at (0.1746, 0.2500, 0.1299), Tl at (0.2688, 0.7500, 0.7613), Cd at (0.4223, 0.7500, 0.3838), Se at (0.0345, 0.2500, 0.8560), Se at (0.2523, 0.2500, 0.4383) and Se at (0.3899, 0.7500, 0.1180).


13.
# ScCdSi

A geometry-optimized ScCdSi structure (PBE, OQMD via LeMat-Bulk).

The value obtained for the magnetization is 0.0 μB per cell. The value obtained for the total energy is -4.183 eV per atom.

The structure belongs to space group F-43m (No. 216); the cell edges are 6.4663, 6.4663 and 6.4663 Å and the angles 90.00°, 90.00° and 90.00°. The distinct sites, in fractional coordinates, are Sc at (0.0000, 0.0000, 0.0000), Cd at (0.2500, 0.2500, 0.7500) and Si at (0.2500, 0.2500, 0.2500).


14.
# ScCdSi2

A geometry-optimized ScCdSi2 structure (PBE, OQMD via LeMat-Bulk).

The value obtained for the magnetization is 0.3 μB per cell. The value obtained for the total energy is -4.334 eV per atom.

The structure belongs to space group F-43m (No. 216); the cell edges are 6.6774, 6.6774 and 6.6774 Å and the angles 90.00°, 90.00° and 90.00°. The distinct sites, in fractional coordinates, are Sc at (0.0000, 0.0000, 0.0000), Cd at (0.2500, 0.2500, 0.2500), Si at (0.0000, 0.0000, 0.5000) and Si at (0.2500, 0.2500, 0.7500).


15.
# Sc2Cd2Si3

A geometry-optimized Sc2Cd2Si3 structure (PBE, OQMD via LeMat-Bulk).

The value obtained for the magnetization is 0.0 μB per cell. The value obtained for the total energy is -4.460 eV per atom.

The structure belongs to space group R3m (No. 160, hexagonal axes); the cell edges are 4.4091, 4.4091 and 25.3090 Å and the angles 90.00°, 90.00° and 120.00°. The distinct sites, in fractional coordinates, are Sc at (0.0000, 0.0000, 0.0000), Sc at (0.0000, 0.0000, 0.4977), Cd at (0.0000, 0.0000, 0.2455), Cd at (0.0000, 0.0000, 0.7531), Si at (0.0000, 0.0000, 0.3906), Si at (0.0000, 0.0000, 0.6259) and Si at (0.0000, 0.0000, 0.8631).


16.
# Sc2CdSn

A geometry-optimized Sc2CdSn structure (PBE, OQMD via LeMat-Bulk).

The value obtained for the magnetization is 4.1 μB per cell. The value obtained for the total energy is -4.404 eV per atom.

The structure belongs to space group F-43m (No. 216); the cell edges are 7.1895, 7.1895 and 7.1895 Å and the angles 90.00°, 90.00° and 90.00°. The distinct sites, in fractional coordinates, are Sc at (0.0000, 0.0000, 0.0000), Sc at (0.2500, 0.2500, 0.2500), Cd at (0.2500, 0.2500, 0.7500) and Sn at (0.0000, 0.0000, 0.5000).


17.
# ScCd2Sn

A geometry-optimized ScCd2Sn structure (PBE, OQMD via LeMat-Bulk).

The value obtained for the magnetization is 0.0 μB per cell. The value obtained for the total energy is -3.148 eV per atom.

The structure belongs to space group F-43m (No. 216); the cell edges are 7.1360, 7.1360 and 7.1360 Å and the angles 90.00°, 90.00° and 90.00°. The distinct sites, in fractional coordinates, are Sc at (0.0000, 0.0000, 0.0000), Cd at (0.0000, 0.0000, 0.5000), Cd at (0.2500, 0.2500, 0.2500) and Sn at (0.2500, 0.2500, 0.7500).


18.
# ScCd2Sn

A geometry-optimized ScCd2Sn structure (PBE, OQMD via LeMat-Bulk).

The value obtained for the magnetization is 0.0 μB per cell. The value obtained for the total energy is -3.380 eV per atom.

The structure belongs to space group P4/mmm (No. 123); the cell edges are 4.3275, 4.3275 and 4.6974 Å and the angles 90.00°, 90.00° and 90.00°. The distinct sites, in fractional coordinates, are Sc at (0.0000, 0.0000, 0.0000), Cd at (0.0000, 0.5000, 0.5000) and Sn at (0.5000, 0.5000, 0.0000).


19.
# Sc2Cd2Sn3

A geometry-optimized Sc2Cd2Sn3 structure (PBE, OQMD via LeMat-Bulk).

The value obtained for the magnetization is 0.0 μB per cell. The value obtained for the total energy is -3.895 eV per atom.

The structure belongs to space group R3m (No. 160, hexagonal axes); the cell edges are 4.8269, 4.8269 and 26.3403 Å and the angles 90.00°, 90.00° and 120.00°. The distinct sites, in fractional coordinates, are Sc at (0.0000, 0.0000, 0.0000), Sc at (0.0000, 0.0000, 0.4980), Cd at (0.0000, 0.0000, 0.2408), Cd at (0.0000, 0.0000, 0.7554), Sn at (0.0000, 0.0000, 0.3869), Sn at (0.0000, 0.0000, 0.6278) and Sn at (0.0000, 0.0000, 0.8655).


20.
# ScCd2Tc

A geometry-optimized ScCd2Tc structure (PBE, OQMD via LeMat-Bulk).

The value obtained for the magnetization is 0.0 μB per cell. The value obtained for the total energy is -4.469 eV per atom.

The structure belongs to space group F-43m (No. 216); the cell edges are 6.6848, 6.6848 and 6.6848 Å and the angles 90.00°, 90.00° and 90.00°. The distinct sites, in fractional coordinates, are Sc at (0.0000, 0.0000, 0.0000), Cd at (0.0000, 0.0000, 0.5000), Cd at (0.2500, 0.2500, 0.7500) and Tc at (0.2500, 0.2500, 0.2500).